AcAlNiPt: relaxed, GGA-PBE.

Properties
Calculated volume (Å³/f.u.): 85.1
Mass density (Mg/m³): 9.90
Calculated formation energy (eV per atom): -0.82
Calculated total energy (eV per atom): -5.735
Magnetization (μB/cell): 0.00

Cell lengths 4.3275, 4.3302, 5.8066 Å; angles 111.83, 90.00, 119.98 degrees
Last column: nearest neighbours and their distance in Å.
Positions (direct):
Ac 0.6173 0.2346 0.4936  4 Ni 3.12-3.28, 4 Pt 3.16-3.25
Al 0.1177 0.2354 0.9951  3 Ni 2.55, 3 Pt 2.56
Ni 0.8150 0.6300 0.0879  3 Al 2.55, 3 Pt 2.70
Pt 0.4163 0.8327 0.8908  3 Al 2.56, 3 Ni 2.70

---

TaGaFeRe: relaxed, GGA-PBE.

Properties
Calculated volume (Å³/f.u.): 58.3
Mass density (Mg/m³): 14.03
Calculated formation energy (eV per atom): -0.11
Calculated total energy (eV per atom): -9.053
Magnetization (μB/cell): 0.88

Cell lengths 4.3525, 4.3525, 4.3525 Å; angles 60.00, 60.00, 60.00 degrees
Last column: nearest neighbours and their distance in Å.
Positions (direct):
Re 0.5000 0.5000 0.5000  4 Ta 2.67, 4 Ga 2.67
Fe 0.0000 0.0000 0.0000  4 Ga 2.67, 4 Ta 2.67
Ga 0.2500 0.2500 0.2500  4 Fe 2.67, 4 Re 2.67
Ta 0.7500 0.7500 0.7500  4 Re 2.67, 4 Fe 2.67